Arrangement w

VASP calculation (PBE-GGA) on a relaxed Be3GeB crystal.

The structure in CIF format:
```
data_Be3GeB
_cell_length_a 3.769
_cell_length_b 3.769
_cell_length_c 3.769
_cell_angle_alpha 90.00
_cell_angle_beta 90.00
_cell_angle_gamma 90.00
_space_group_name_H-M_alt 'P m -3 m'
_space_group_IT_number 221
_space_group_name_Hall '-P 4 2 3'
loop_
_atom_site_label
_atom_site_fract_x
_atom_site_fract_y
_atom_site_fract_z
Be1 0.000 0.000 0.500
Ge1 0.500 0.500 0.500
B1 0.000 0.000 0.000
```

---

Arrangement x

VASP calculation (PBE-GGA) on a relaxed Be3GeB crystal.

The structure in CIF format:
```
data_Be3GeB
_cell_length_a 4.184
_cell_length_b 4.184
_cell_length_c 4.184
_cell_angle_alpha 90.00
_cell_angle_beta 90.00
_cell_angle_gamma 90.00
_space_group_name_H-M_alt 'P m -3 m'
_space_group_IT_number 221
_space_group_name_Hall '-P 4 2 3'
loop_
_atom_site_label
_atom_site_fract_x
_atom_site_fract_y
_atom_site_fract_z
Be1 0.000 0.000 0.500
Ge1 0.000 0.000 0.000
B1 0.500 0.500 0.500
```

---

Result of the stability comparison: arrangement w is the most stable of them.